[1]
Density functional theory data (PBE) for an optimized crystal structure of Ho2Tm6Th3.

Cell and atoms, written as CIF:
```
data_Ho2Tm6Th3
_chemical_formula_sum 'Ho4 Tm12 Th6'
_space_group_name_H-M_alt 'C 1 2/m 1'
_space_group_IT_number 12
_space_group_name_Hall '-C 2y'
_cell_length_a 6.1070
_cell_length_b 10.6294
_cell_length_c 11.3722
_cell_angle_alpha 90.00
_cell_angle_beta 101.03
_cell_angle_gamma 90.00
loop_
_atom_site_label
_atom_site_type_symbol
_atom_site_fract_x
_atom_site_fract_y
_atom_site_fract_z
_atom_site_occupancy
Ho1 Ho 0.0000 0.1643 0.0000 1
Tm1 Tm 0.2463 0.3342 0.2511 1
Tm2 Tm 0.2473 0.0000 0.2542 1
Th1 Th 0.0000 0.0000 0.5000 1
Th2 Th 0.0000 0.3334 0.5000 1
```

## Properties
E = -56.17 eV/f.u.
Magnetic moment = 0.00 μB/cell

***

[2]
Density functional theory data (PBE) for an optimized crystal structure of IrPb.

Cell and atoms, written as CIF:
```
data_IrPb
_chemical_formula_sum 'Ir6 Pb6'
_space_group_name_H-M_alt 'P 63/m'
_space_group_IT_number 176
_space_group_name_Hall '-P 6c'
_cell_length_a 10.2403
_cell_length_b 10.2403
_cell_length_c 4.1113
_cell_angle_alpha 90.00
_cell_angle_beta 90.00
_cell_angle_gamma 120.00
loop_
_atom_site_label
_atom_site_type_symbol
_atom_site_fract_x
_atom_site_fract_y
_atom_site_fract_z
_atom_site_occupancy
Ir1 Ir 0.0014 0.4329 0.2500 1
Pb1 Pb 0.1503 0.7698 0.2500 1
```

## Properties
E = -11.52 eV/f.u.
Magnetic moment = 0.00 μB/cell

***

[3]
Density functional theory data (PBE) for an optimized crystal structure of MnNi6Sb.

Cell and atoms, written as CIF:
```
data_MnNi6Sb
_chemical_formula_sum 'Mn1 Ni6 Sb1'
_space_group_name_H-M_alt 'P -6 m 2'
_space_group_IT_number 187
_space_group_name_Hall 'P -6 2'
_cell_length_a 5.1826
_cell_length_b 5.1826
_cell_length_c 4.1955
_cell_angle_alpha 90.00
_cell_angle_beta 90.00
_cell_angle_gamma 120.00
loop_
_atom_site_label
_atom_site_type_symbol
_atom_site_fract_x
_atom_site_fract_y
_atom_site_fract_z
_atom_site_occupancy
Mn1 Mn 0.0000 0.0000 0.0000 1
Ni1 Ni 0.3368 0.1684 0.5000 1
Ni2 Ni 0.5067 0.0135 0.0000 1
Sb1 Sb 0.3333 0.6667 0.5000 1
```

## Properties
E above lowest polymorph = 26 meV per atom
Magnetic moment = 4.75 μB/cell
Formation energy (no corrections) = -93 meV per atom

***

[4]
Density functional theory data (PBE) for an optimized crystal structure of CsLi2GePd.

Cell and atoms, written as CIF:
```
data_CsLi2GePd
_chemical_formula_sum 'Cs1 Li2 Ge1 Pd1'
_space_group_name_H-M_alt 'P 4/m m m'
_space_group_IT_number 123
_space_group_name_Hall '-P 4 2'
_cell_length_a 5.2020
_cell_length_b 5.2020
_cell_length_c 5.2730
_cell_angle_alpha 90.00
_cell_angle_beta 90.00
_cell_angle_gamma 90.00
loop_
_atom_site_label
_atom_site_type_symbol
_atom_site_fract_x
_atom_site_fract_y
_atom_site_fract_z
_atom_site_occupancy
Cs1 Cs 0.0000 0.0000 0.0000 1
Li1 Li 0.0000 0.5000 0.0000 1
Ge1 Ge 0.5000 0.5000 0.5000 1
Pd1 Pd 0.0000 0.0000 0.5000 1
```

## Properties
E above lowest polymorph = 1185 meV per atom
Magnetic moment = 0.00 μB/cell

***

[5]
Density functional theory data (PBE) for an optimized crystal structure of Y2CdAs.

Cell and atoms, written as CIF:
```
data_Y2CdAs
_chemical_formula_sum 'Y2 Cd1 As1'
_space_group_name_H-M_alt 'P 4/m m m'
_space_group_IT_number 123
_space_group_name_Hall '-P 4 2'
_cell_length_a 3.7542
_cell_length_b 3.7542
_cell_length_c 6.8740
_cell_angle_alpha 90.00
_cell_angle_beta 90.00
_cell_angle_gamma 90.00
loop_
_atom_site_label
_atom_site_type_symbol
_atom_site_fract_x
_atom_site_fract_y
_atom_site_fract_z
_atom_site_occupancy
Y1 Y 0.0000 0.0000 0.2326 1
Cd1 Cd 0.5000 0.5000 0.5000 1
As1 As 0.5000 0.5000 0.0000 1
```

## Properties
E above lowest polymorph = 111 meV per atom
Magnetic moment = 0.26 μB/cell

***

[6]
Density functional theory data (PBE) for an optimized crystal structure of CaTi2Au2.

Cell and atoms, written as CIF:
```
data_CaTi2Au2
_chemical_formula_sum 'Ca2 Ti4 Au4'
_space_group_name_H-M_alt 'P 4/m b m'
_space_group_IT_number 127
_space_group_name_Hall '-P 4 2ab'
_cell_length_a 8.0627
_cell_length_b 8.0627
_cell_length_c 3.0383
_cell_angle_alpha 90.00
_cell_angle_beta 90.00
_cell_angle_gamma 90.00
loop_
_atom_site_label
_atom_site_type_symbol
_atom_site_fract_x
_atom_site_fract_y
_atom_site_fract_z
_atom_site_occupancy
Ca1 Ca 0.0000 0.0000 0.0000 1
Ti1 Ti 0.1134 0.3866 0.0000 1
Au1 Au 0.1793 0.6793 0.5000 1
```

## Properties
E above lowest polymorph = 21 meV per atom
Magnetic moment = 3.04 μB/cell

***

Number 1: ρ 9.35 Mg/m³. Number 2: ρ 10.66 Mg/m³. Number 3: ρ 9.00 Mg/m³. Number 4: ρ 3.79 Mg/m³. Number 5: ρ 6.26 Mg/m³. Number 6: ρ 8.91 Mg/m³.